This record from the Alexandria database describes SiIr at its PBEsol-relaxed geometry. The functional is meta-GGA SCAN.

## Properties
space-group type: No. 12
total DFT energy (no corrections): -41.150 eV per atom
energy relative to the elements, uncorrected: -0.593 eV/atom

Unit cell a=2.826 b=5.119 c=5.950 alpha=105.98 beta=103.74 gamma=90.00
Positions (direct):
1 Ir 0.835 0.736 0.669
2 Ir 0.165 0.264 0.331
3 Ir 0.500 0.500 0.000
4 Si 0.500 0.000 0.000
5 Si 0.834 0.213 0.667
6 Si 0.166 0.787 0.333